Density functional theory data (GGA-PBE) for crystalline La7PrHo4 at its relaxed geometry.

Output
Formation energy from the elements   0.0121 eV per atom
SG   P-1 (2)
ρ   7.01 g cm⁻³
M_tot   0.0000 μB per atom

CIF file:
```
data_La7PrHo4
_chemical_formula_sum 'La7 Pr1 Ho4'
_cell_length_a 6.430
_cell_length_b 7.389
_cell_length_c 9.088
_cell_angle_alpha 89.99
_cell_angle_beta 76.44
_cell_angle_gamma 89.95
_symmetry_space_group_name_H-M 'P 1'
_symmetry_Int_Tables_number 1
_symmetry_space_group_name_Hall 'P 1'
loop_
_atom_site_label
_atom_site_fract_x
_atom_site_fract_y
_atom_site_fract_z
La1 0.000 0.000 0.000
La2 0.223 0.501 0.334
La3 0.281 0.249 0.664
La4 0.499 0.245 0.004
La5 0.501 0.755 0.996
La6 0.719 0.751 0.336
La7 0.777 0.499 0.666
Pr1 0.000 0.500 0.000
Ho1 0.219 0.001 0.336
Ho2 0.276 0.756 0.667
Ho3 0.724 0.244 0.333
Ho4 0.781 0.999 0.664
```